# GGA-PBEsol Li5Cu5Sb2O12, relaxed
# space group = C2 (5)
# DFT total energy = -5.611 eV per atom
# formation energy without anion corrections = -1.294 eV per atom
# magnetization = 0.88 μB per formula unit
data_Li5Cu5Sb2O12
_chemical_formula_sum 'Li5 Cu5 Sb2 O12'
_space_group_name_H-M_alt 'P 1'
_space_group_IT_number 1
_space_group_name_Hall 'P 1'
_cell_length_a 5.1322
_cell_length_b 5.1322
_cell_length_c 9.7467
_cell_angle_alpha 91.50
_cell_angle_beta 91.50
_cell_angle_gamma 113.75
loop_
_atom_site_label
_atom_site_fract_x
_atom_site_fract_y
_atom_site_fract_z
Li1 0.1631 0.3223 0.2550
Sb1 0.2468 0.7532 0.5000
Cu1 0.0852 0.9148 0.0000
O1 0.9229 0.4317 0.3993
O2 0.8078 0.9909 0.1324
Cu2 0.9975 0.4925 0.7484
O3 0.9886 0.7970 0.6373
Cu3 0.5075 0.0025 0.2516
Cu4 0.5877 0.4123 0.5000
O4 0.4253 0.9263 0.9004
Li2 0.6777 0.8369 0.7450
O5 0.0091 0.1922 0.8676
Cu5 0.4119 0.5881 0.0000
O6 0.4798 0.3128 0.1272
Sb2 0.7477 0.2523 0.0000
O7 0.5334 0.6983 0.3791
O8 0.2030 0.0114 0.3627
Li3 0.8453 0.6776 0.2557
O9 0.3017 0.4666 0.6209
Li4 0.9063 0.0937 0.5000
O10 0.0737 0.5747 0.0996
O11 0.6872 0.5202 0.8728
O12 0.5683 0.0771 0.6007
Li5 0.3224 0.1547 0.7443